The following is a PBE-GGA calculation of a geometry-optimized NaSn3Se6 structure, from Alexandria. Values from VASP.

Computed properties:
ΔE_f (raw) = -0.45 eV per atom
DFT total energy = -3.8717 eV per atom
space group = No. 11

Quantum ESPRESSO input file:
```
&SYSTEM
  ibrav = 0, nat = 20, ntyp = 3
/
ATOMIC_SPECIES
Na 22.99 Na.upf
Sn 118.71 Sn.upf
Se 78.96 Se.upf
ATOMIC_POSITIONS crystal
Na 0.7500 0.6303 0.9214
Na 0.2500 0.3697 0.0786
Sn 0.7500 0.4163 0.5763
Sn 0.2500 0.5837 0.4237
Sn 0.7500 0.7262 0.2454
Sn 0.2500 0.2738 0.7546
Sn 0.7500 0.9845 0.8696
Sn 0.2500 0.0155 0.1304
Se 0.7500 0.1930 0.5998
Se 0.2500 0.8070 0.4002
Se 0.7500 0.1581 0.0654
Se 0.2500 0.8419 0.9346
Se 0.7500 0.6539 0.5741
Se 0.2500 0.3461 0.4259
Se 0.7500 0.5004 0.2699
Se 0.2500 0.4996 0.7301
Se 0.7500 0.3623 0.9008
Se 0.2500 0.6377 0.0992
Se 0.7500 0.9684 0.2532
Se 0.2500 0.0316 0.7468
CELL_PARAMETERS angstrom
-1.0909 3.1140 -2.0909
-4.4147 -7.0221 -8.1548
-9.3187 3.1301 9.5234
```

***

The following is a PBE-GGA calculation of a geometry-optimized Pr3NdOs structure, from Alexandria. Values from VASP.

Computed properties:
DFT total energy = -6.0290 eV per atom
space group = No. 31
DFT formation energy = 18 kJ/mol of formula units

Quantum ESPRESSO input file:
```
&SYSTEM
  ibrav = 0, nat = 10, ntyp = 3
/
ATOMIC_SPECIES
Pr 140.91 Pr.upf
Nd 144.24 Nd.upf
Os 190.23 Os.upf
ATOMIC_POSITIONS crystal
Pr 0.4226 0.3379 0.2009
Pr 0.4257 0.8568 0.9506
Pr 0.9256 0.4960 0.4506
Pr 0.9226 0.0149 0.7007
Pr 0.9257 0.4960 0.9510
Pr 0.4256 0.8568 0.4509
Nd 0.4282 0.3397 0.7009
Nd 0.9282 0.0131 0.2007
Os 0.1761 0.6754 0.7008
Os 0.6761 0.6773 0.2008
CELL_PARAMETERS angstrom
-1.3713 -6.0893 -1.9427
3.2555 -2.4346 5.3322
-6.7533 0.1795 4.2044
```

***

The following is a PBE-GGA calculation of a geometry-optimized Tb6CuSe3S2 structure, from Alexandria. Values from VASP.

Computed properties:
ΔE_f (raw) = -1.62 eV per atom
DFT total energy = -5.8316 eV per atom
space group = No. 12

Quantum ESPRESSO input file:
```
&SYSTEM
  ibrav = 0, nat = 12, ntyp = 4
/
ATOMIC_SPECIES
Tb 158.93 Tb.upf
Cu 63.55 Cu.upf
Se 78.96 Se.upf
S 32.06 S.upf
ATOMIC_POSITIONS crystal
Tb 0.9227 0.5907 0.7656
Tb 0.7467 0.7467 0.2350
Tb 0.0773 0.4093 0.2344
Tb 0.5907 0.9227 0.7656
Tb 0.2533 0.2533 0.7650
Tb 0.4093 0.0773 0.2344
Cu 0.0000 0.0000 0.0000
Se 0.1693 0.8307 0.5000
Se 0.8307 0.1693 0.5000
Se 0.5000 0.5000 0.5000
S 0.3343 0.6657 0.0000
S 0.6657 0.3343 0.0000
CELL_PARAMETERS angstrom
6.9705 0.0005 -0.0016
-3.4831 6.0379 -0.0016
-1.1649 -2.0170 6.6417
```

***

The following is a PBE-GGA calculation of a geometry-optimized LiCe2Pr3Se6 structure, from Alexandria. Values from VASP.

Computed properties:
ΔE_f (raw) = -1.78 eV per atom
DFT total energy = -5.8637 eV per atom
space group = No. 12

Quantum ESPRESSO input file:
```
&SYSTEM
  ibrav = 0, nat = 12, ntyp = 4
/
ATOMIC_SPECIES
Li 6.94 Li.upf
Ce 140.12 Ce.upf
Pr 140.91 Pr.upf
Se 78.96 Se.upf
ATOMIC_POSITIONS crystal
Li 0.0000 0.0000 0.0000
Ce 0.3346 0.6654 0.0000
Ce 0.6654 0.3346 0.0000
Pr 0.1672 0.8328 0.5000
Pr 0.8328 0.1672 0.5000
Pr 0.5000 0.5000 0.5000
Se 0.9209 0.5962 0.7612
Se 0.7561 0.7561 0.2389
Se 0.0791 0.4038 0.2388
Se 0.5962 0.9209 0.7612
Se 0.2439 0.2439 0.7611
Se 0.4038 0.0791 0.2388
CELL_PARAMETERS angstrom
7.2866 -0.0091 -0.0057
-3.6494 6.3069 -0.0057
-1.2188 -2.1103 6.8933
```

***

The following is a PBE-GGA calculation of a geometry-optimized TaMn2Au structure, from Alexandria. Values from VASP.

Computed properties:
DFT total energy = -8.3072 eV per atom
space group = No. 225
DFT formation energy = 23 kJ/mol of formula units

Quantum ESPRESSO input file:
```
&SYSTEM
  ibrav = 0, nat = 4, ntyp = 3
/
ATOMIC_SPECIES
Mn 54.94 Mn.upf
Au 196.97 Au.upf
Ta 180.95 Ta.upf
ATOMIC_POSITIONS crystal
Mn 0.2500 0.2500 0.2500
Mn 0.7500 0.7500 0.7500
Au 0.5000 0.5000 0.5000
Ta 0.0000 0.0000 0.0000
CELL_PARAMETERS angstrom
0.0000 3.1260 3.1260
3.1260 0.0000 3.1260
3.1260 3.1260 0.0000
```

***

The following is a PBE-GGA calculation of a geometry-optimized Re3Au4 structure, from Alexandria. Values from VASP.

Computed properties:
DFT total energy = -6.8577 eV per atom
space group = No. 139
DFT formation energy = 236 kJ/mol of formula units

Quantum ESPRESSO input file:
```
&SYSTEM
  ibrav = 0, nat = 7, ntyp = 2
/
ATOMIC_SPECIES
Re 186.21 Re.upf
Au 196.97 Au.upf
ATOMIC_POSITIONS crystal
Re 0.0000 0.0000 0.0000
Re 0.7208 0.7208 0.0000
Re 0.2792 0.2792 0.0000
Au 0.8527 0.8527 0.0000
Au 0.5694 0.5694 0.0000
Au 0.4306 0.4306 0.0000
Au 0.1473 0.1473 0.0000
CELL_PARAMETERS angstrom
-1.4180 1.4180 14.5514
1.4180 -1.4180 14.5514
1.4180 1.4180 -14.5514
```